No. 1
Density functional theory data (PBE) for a geometry-optimized BaNaCl2 structure.

Cell and atoms, written as extended XYZ:
```
4
Lattice="-1.283 -1.125 5.229 -4.633 -2.723 1.171 0.243 -5.178 1.839" Properties=species:S:1:pos:R:3 pbc="T T T"
Na 0.000 0.000 0.000
Ba -2.837 -4.513 4.119
Cl -1.418 -2.256 2.060
Cl -4.255 -6.769 6.179
```

Its density of states at the Fermi level is 0.272 states/eV per atom. The calculation puts the raw formation energy at -1.58 eV per atom. The offset from the most stable computed form is 162 meV per atom. The mass density comes out at 3.26 g/cm³.

***

No. 2
Density functional theory data (PBE) for a geometry-optimized PaFeNiPd structure.

Cell and atoms, written as extended XYZ:
```
4
Lattice="-2.287 -1.621 3.466 -3.116 -3.121 -0.649 0.709 -4.179 1.381" Properties=species:S:1:pos:R:3 pbc="T T T"
Ni 0.000 0.000 0.000
Pa -3.520 -6.690 3.148
Fe -2.347 -4.460 2.099
Pd -1.173 -2.230 1.049
```

Its density of states at the Fermi level is 1.278 states/eV per atom. The mass density comes out at 11.98 g/cm³. The formation energy is -0.16 eV per atom.

***

No. 3
Density functional theory data (PBE) for a geometry-optimized CaCuRe2Si structure.

Cell and atoms, written as extended XYZ:
```
5
Lattice="-3.625 2.863 0.916 -2.582 -2.566 -2.197 -0.927 -2.429 3.926" Properties=species:S:1:pos:R:3 pbc="T T T"
Re -0.463 -1.215 1.963
Re -1.812 1.431 0.458
Ca -3.567 -1.066 1.322
Si -1.291 -1.283 -1.099
Cu 0.000 0.000 0.000
```

Its density of states at the Fermi level is 1.224 states/eV per atom. The calculation puts the raw formation energy at 1.33 eV per atom. The mass density comes out at 8.88 g/cm³.

***

No. 4
Density functional theory data (PBE) for a geometry-optimized GaCu2BiC structure.

Cell and atoms, written as extended XYZ:
```
5
Lattice="4.804 0.000 0.000 0.000 3.794 0.000 0.000 0.000 4.804" Properties=species:S:1:pos:R:3 pbc="T T T"
C 0.000 1.897 0.000
Cu 0.000 0.000 2.402
Cu 2.402 0.000 0.000
Bi 2.402 1.897 2.402
Ga 0.000 0.000 0.000
```

Its density of states at the Fermi level is 0.384 states/eV per atom. The mass density comes out at 7.92 g/cm³. The formation energy is 1.13 eV per atom.

***

No. 5
Density functional theory data (PBE) for a geometry-optimized BaHgIr2 structure.

Cell and atoms, written as extended XYZ:
```
4
Lattice="5.403 0.001 0.000 1.734 5.117 0.000 -3.568 -2.559 3.148" Properties=species:S:1:pos:R:3 pbc="T T T"
Ir 0.000 0.000 0.000
Ir 0.867 2.559 1.574
Hg 2.701 0.000 1.574
Ba 3.568 2.559 0.000
```

Its density of states at the Fermi level is 1.600 states/eV per atom. The mass density comes out at 13.78 g/cm³. The formation energy is 0.74 eV per atom.

***

No. 6
Density functional theory data (PBE) for a geometry-optimized PmNd3Dy3S8 structure.

Cell and atoms, written as extended XYZ:
```
15
Lattice="7.938 0.000 0.000 -3.969 6.874 -0.024 0.000 -4.560 6.569" Properties=species:S:1:pos:R:3 pbc="T T T"
Pm 0.000 -2.280 3.284
Nd 0.000 0.000 0.000
Nd -1.984 3.437 -0.012
Nd 1.984 3.437 -0.012
Dy 3.969 -2.280 3.284
Dy 1.984 1.157 3.272
Dy -1.984 1.157 3.272
S 0.000 2.297 1.725
S 3.969 0.017 4.820
S 3.969 2.231 1.680
S 0.000 0.084 4.864
S 5.896 -1.106 1.692
S -1.927 3.421 4.853
S 2.042 -1.106 1.692
S 1.927 3.421 4.853
```

Its density of states at the Fermi level is 0.449 states/eV per atom. The calculation puts the raw formation energy at -2.04 eV per atom. The mass density comes out at 6.14 g/cm³.

***

No. 7
Density functional theory data (PBE) for a geometry-optimized MnRhBr2 structure.

Cell and atoms, written as extended XYZ:
```
8
Lattice="-0.908 2.164 4.581 3.221 -3.347 2.219 6.521 3.877 2.353" Properties=species:S:1:pos:R:3 pbc="T T T"
Mn 1.156 -0.592 3.400
Mn 5.449 -0.031 3.986
Rh 0.000 0.000 0.000
Rh 3.385 2.725 5.167
Br 1.462 1.912 3.747
Br 3.533 -0.860 2.530
Br 5.745 2.477 4.306
Br 6.927 1.859 7.724
```

Its density of states at the Fermi level is 0.107 states/eV per atom. The calculation puts the raw formation energy at 0.24 eV per atom. The offset from the most stable computed form is 383 meV per atom. The mass density comes out at 5.64 g/cm³.

***

No. 8
Density functional theory data (PBE) for a geometry-optimized MgNbHg2Au structure.

Cell and atoms, written as extended XYZ:
```
5
Lattice="4.929 0.000 0.000 0.000 5.088 0.000 0.000 0.000 4.929" Properties=species:S:1:pos:R:3 pbc="T T T"
Mg 0.000 0.000 0.000
Nb 0.000 2.544 0.000
Au 2.465 2.544 2.465
Hg 0.000 0.000 2.465
Hg 2.465 0.000 0.000
```

Its density of states at the Fermi level is 0.684 states/eV per atom. The offset from the most stable computed form is 330 meV per atom. The mass density comes out at 9.61 g/cm³. The formation energy is 1.08 eV per atom.

***

No. 9
Density functional theory data (PBE) for a geometry-optimized Ac5PmBi6 structure.

Cell and atoms, written as extended XYZ:
```
12
Lattice="-1.560 -6.010 5.614 7.811 1.238 -2.744 -0.845 6.740 4.897" Properties=species:S:1:pos:R:3 pbc="T T T"
Ac -0.397 -1.414 6.649
Ac 1.573 -3.587 2.820
Ac 2.703 0.984 3.883
Ac 4.678 -1.185 0.050
Ac 5.803 3.382 1.118
Bi -0.207 -0.695 3.248
Bi 2.570 0.310 7.233
Bi 0.875 3.925 4.384
Bi 4.531 -1.957 3.383
Bi 2.836 1.658 0.534
Bi 5.613 2.663 4.519
Pm 0.000 0.000 0.000
```

Its density of states at the Fermi level is 0.114 states/eV per atom. The mass density comes out at 8.78 g/cm³. The formation energy is -0.98 eV per atom.

***

No. 10
Density functional theory data (PBE) for a geometry-optimized Tm3Th2Sc3 structure.

Cell and atoms, written as extended XYZ:
```
8
Lattice="-4.529 -0.645 1.575 0.099 -4.600 -1.599 5.637 -0.308 8.656" Properties=species:S:1:pos:R:3 pbc="T T T"
Tm -1.370 -3.345 2.120
Tm 2.578 -2.207 6.512
Tm -2.264 -0.323 0.787
Th -0.556 -1.785 5.102
Th 1.764 -3.767 3.530
Sc 0.851 -0.729 2.150
Sc 0.050 -2.300 -0.799
Sc 0.357 -4.824 6.482
```

Its density of states at the Fermi level is 1.391 states/eV per atom. The offset from the most stable computed form is 0 meV per atom. The mass density comes out at 7.99 g/cm³. The formation energy is 0.04 eV per atom.

***

No. 11
Density functional theory data (PBE) for a geometry-optimized Pm6Nd4Tm structure.

Cell and atoms, written as extended XYZ:
```
11
Lattice="-1.030 -3.457 0.297 8.316 -1.868 7.089 -9.889 3.272 3.795" Properties=species:S:1:pos:R:3 pbc="T T T"
Pm 3.823 -0.797 3.973
Pm -3.322 -0.239 7.742
Pm -0.254 0.552 5.538
Pm 3.175 -0.218 8.461
Pm -7.071 0.603 4.546
Pm -2.613 -0.872 2.836
Nd -0.287 -1.059 8.727
Nd 0.544 -1.801 2.972
Nd 4.942 -2.789 6.720
Nd -3.820 1.559 4.893
Tm 0.000 0.000 0.000
```

Its density of states at the Fermi level is 1.418 states/eV per atom. The offset from the most stable computed form is 0 meV per atom. The mass density comes out at 6.97 g/cm³. The formation energy is 0.14 eV per atom.

***

No. 12
Density functional theory data (PBE) for a geometry-optimized PmSmAg2Te4 structure.

Cell and atoms, written as extended XYZ:
```
8
Lattice="7.579 0.000 0.000 3.789 5.865 0.253 3.789 0.733 5.825" Properties=species:S:1:pos:R:3 pbc="T T T"
Pm 7.579 3.299 3.039
Sm 0.000 0.000 0.000
Ag 3.789 2.266 2.087
Ag 11.368 4.332 3.991
Te 5.740 0.830 3.443
Te 5.740 5.768 2.635
Te 9.417 3.499 0.546
Te 9.417 3.099 5.532
```

Its density of states at the Fermi level is 0.121 states/eV per atom. The calculation puts the raw formation energy at -0.73 eV per atom. The mass density comes out at 6.59 g/cm³.

***

No. 13
Density functional theory data (PBE) for a geometry-optimized Na2TbHg8 structure.

Cell and atoms, written as extended XYZ:
```
11
Lattice="-2.611 0.198 4.215 0.706 -7.202 0.776 7.486 3.582 1.548" Properties=species:S:1:pos:R:3 pbc="T T T"
Na 3.164 -3.058 2.104
Na 2.417 -0.364 4.434
Tb -1.305 0.099 2.107
Hg 0.217 -2.431 3.169
Hg 4.149 1.613 2.494
Hg 1.951 -0.017 1.210
Hg 0.766 -5.039 0.711
Hg 3.629 -3.405 5.329
Hg 1.432 -5.035 4.044
Hg 5.364 -0.991 3.369
Hg 4.815 1.618 5.827
```

Its density of states at the Fermi level is 0.332 states/eV per atom. The mass density comes out at 10.92 g/cm³. The formation energy is -0.23 eV per atom.

***

No. 14
Density functional theory data (PBE) for a geometry-optimized FeSbPt structure.

Cell and atoms, written as extended XYZ:
```
6
Lattice="3.999 0.000 0.000 -1.999 3.467 0.000 0.000 0.000 8.472" Properties=species:S:1:pos:R:3 pbc="T T T"
Pt 1.999 0.772 0.000
Pt 0.000 1.926 4.236
Fe 1.999 0.768 3.024
Fe 1.999 0.768 5.449
Sb 0.000 1.927 6.908
Sb 0.000 1.927 1.564
```

Its density of states at the Fermi level is 1.013 states/eV per atom. The calculation puts the raw formation energy at 0.07 eV per atom. The mass density comes out at 10.54 g/cm³.

***

No. 15
Density functional theory data (PBE) for a geometry-optimized NdTcNi2 structure.

Cell and atoms, written as extended XYZ:
```
4
Lattice="4.171 0.000 0.000 2.085 3.612 0.000 2.085 1.204 4.907" Properties=species:S:1:pos:R:3 pbc="T T T"
Ni 6.256 3.612 2.885
Ni 2.085 1.204 2.022
Nd 0.000 0.000 0.000
Tc 4.171 2.408 2.453
```

Its density of states at the Fermi level is 1.141 states/eV per atom. The mass density comes out at 8.08 g/cm³. The formation energy is -0.08 eV per atom.

***

No. 16
Density functional theory data (PBE) for a geometry-optimized K4BrO12 structure.

Cell and atoms, written as extended XYZ:
```
17
Lattice="7.002 0.000 -2.476 -3.501 6.064 -2.476 0.000 0.000 7.427" Properties=species:S:1:pos:R:3 pbc="T T T"
K -1.751 3.032 -1.238
K 0.000 0.000 3.713
K 3.501 0.000 -1.238
K 1.751 3.032 1.238
Br 0.000 0.000 0.000
O 4.446 0.728 2.252
O 4.673 2.578 -0.965
O 1.068 3.306 -1.510
O -0.647 2.578 2.699
O 2.433 2.758 3.986
O -1.172 3.486 3.441
O 1.592 4.214 -2.252
O 1.909 1.849 4.727
O 4.148 3.486 -0.224
O 3.397 0.728 1.510
O 0.104 5.336 0.966
O -0.945 5.336 0.224
```

The calculation puts the raw formation energy at -0.70 eV per atom. The mass density comes out at 2.26 g/cm³.

***

No. 17
Density functional theory data (PBE) for a geometry-optimized Y3P2N structure.

Cell and atoms, written as extended XYZ:
```
12
Lattice="5.621 0.000 0.000 0.000 7.526 -0.001 -2.811 -1.886 5.794" Properties=species:S:1:pos:R:3 pbc="T T T"
Y 2.565 1.882 0.000
Y 3.056 5.645 0.000
Y -0.006 0.001 1.707
Y 2.805 1.876 4.086
Y 0.006 3.764 1.707
Y 2.816 5.639 4.086
P 2.829 3.759 1.989
P 2.793 -0.004 1.989
P 0.018 5.644 3.804
P -0.018 1.881 3.804
N 5.386 5.645 0.000
N 0.235 1.882 0.000
```

Its density of states at the Fermi level is 0.061 states/eV per atom. The calculation puts the raw formation energy at -1.50 eV per atom. The mass density comes out at 4.64 g/cm³.

***

No. 18
Density functional theory data (PBE) for a geometry-optimized Tl5Pb3I12 structure.

Cell and atoms, written as extended XYZ:
```
20
Lattice="4.732 0.000 0.000 0.000 12.646 -7.301 0.000 0.000 14.603" Properties=species:S:1:pos:R:3 pbc="T T T"
Tl 0.000 4.215 7.301
Tl 0.000 8.431 0.000
Tl 0.000 3.636 -2.099
Tl 0.000 9.010 5.202
Tl 0.000 0.000 4.199
Pb 2.366 8.559 -4.941
Pb 2.366 4.087 2.360
Pb 2.366 0.000 9.883
I 0.000 10.503 -6.064
I 0.000 2.143 1.237
I 0.000 0.000 12.128
I 0.000 6.669 -3.850
I 0.000 5.977 3.451
I 0.000 0.000 7.701
I 2.366 2.495 5.151
I 2.366 3.214 9.866
I 2.366 10.151 -2.150
I 2.366 6.938 6.886
I 2.366 9.432 2.565
I 2.366 5.709 -0.415
```

Its density of states at the Fermi level is 0.910 states/eV per atom. The calculation puts the raw formation energy at -0.60 eV per atom. The offset from the most stable computed form is 0 meV per atom. The mass density comes out at 6.02 g/cm³.

***

No. 19
Density functional theory data (PBE) for a geometry-optimized Cr3SiRh structure.

Cell and atoms, written as extended XYZ:
```
5
Lattice="-3.921 2.476 -0.581 -2.541 -3.861 0.692 -0.113 0.896 4.585" Properties=species:S:1:pos:R:3 pbc="T T T"
Cr -1.270 -1.930 0.346
Cr -0.057 0.448 2.293
Cr -1.960 1.238 -0.291
Si -3.288 -0.244 2.348
Rh 0.000 0.000 0.000
```

Its density of states at the Fermi level is 1.338 states/eV per atom. The calculation puts the raw formation energy at 1.33 eV per atom. The offset from the most stable computed form is 310 meV per atom. The mass density comes out at 4.67 g/cm³.

***

No. 20
Density functional theory data (PBE) for a geometry-optimized Ta2VSe5 structure.

Cell and atoms, written as extended XYZ:
```
16
Lattice="4.974 0.000 0.000 -2.487 6.045 0.000 0.000 0.000 11.262" Properties=species:S:1:pos:R:3 pbc="T T T"
Ta 2.487 4.277 4.356
Ta 2.487 4.277 1.275
Ta 0.000 1.768 6.906
Ta 0.000 1.768 9.987
V 2.487 3.224 8.447
V 0.000 2.821 2.816
Se 2.487 5.308 9.979
Se 2.487 5.308 6.914
Se 0.000 3.952 5.060
Se 0.000 3.952 0.571
Se 2.487 2.195 2.816
Se 0.000 3.850 8.447
Se 2.487 2.093 6.202
Se 2.487 2.093 10.691
Se 0.000 0.736 1.283
Se 0.000 0.736 4.348
```

Its density of states at the Fermi level is 0.318 states/eV per atom. The calculation puts the raw formation energy at -0.48 eV per atom. The offset from the most stable computed form is 38 meV per atom. The mass density comes out at 7.92 g/cm³.

***

No. 21
Density functional theory data (PBE) for a geometry-optimized BaIr2Au structure.

Cell and atoms, written as extended XYZ:
```
4
Lattice="-0.731 4.222 -3.170 -3.632 -3.768 -1.011 -1.866 1.240 2.082" Properties=species:S:1:pos:R:3 pbc="T T T"
Ir 0.000 0.000 0.000
Ir -2.181 0.227 -2.091
Au -1.299 2.731 -0.544
Ba -2.749 -1.264 0.536
```

Its density of states at the Fermi level is 1.382 states/eV per atom. The offset from the most stable computed form is 863 meV per atom. The mass density comes out at 14.68 g/cm³. The formation energy is 0.72 eV per atom.

***

No. 22
Density functional theory data (PBE) for a geometry-optimized ScInPd6 structure.

Cell and atoms, written as extended XYZ:
```
8
Lattice="-1.432 -2.679 -2.622 2.932 0.949 -2.571 4.711 -5.713 3.263" Properties=species:S:1:pos:R:3 pbc="T T T"
Sc 2.356 -2.856 1.631
In 0.000 0.000 0.000
Pd 0.750 -0.865 -2.597
Pd 3.105 -3.721 -0.965
Pd 0.476 -2.785 -0.486
Pd 2.803 -5.607 1.126
Pd 2.658 -0.971 -0.460
Pd 4.985 -3.793 1.152
```

Its density of states at the Fermi level is 0.939 states/eV per atom. The offset from the most stable computed form is 0 meV per atom. The mass density comes out at 10.17 g/cm³. The formation energy is -0.65 eV per atom.

***

No. 23
Density functional theory data (PBE) for a geometry-optimized Tc2HgBr structure.

Cell and atoms, written as extended XYZ:
```
4
Lattice="3.141 0.000 0.000 0.000 3.141 0.000 0.000 0.000 6.828" Properties=species:S:1:pos:R:3 pbc="T T T"
Hg 1.571 1.571 5.121
Br 1.571 1.571 1.707
Tc 0.000 0.000 0.193
Tc 0.000 0.000 3.221
```

Its density of states at the Fermi level is 1.436 states/eV per atom. The calculation puts the raw formation energy at 1.01 eV per atom. The offset from the most stable computed form is 764 meV per atom. The mass density comes out at 11.74 g/cm³.

***

No. 24
Density functional theory data (PBE) for a geometry-optimized Sm2ScSn3Pt4 structure.

Cell and atoms, written as extended XYZ:
```
10
Lattice="-1.411 -3.835 -1.936 4.192 -1.675 0.263 -2.288 -4.168 9.923" Properties=species:S:1:pos:R:3 pbc="T T T"
Sm -1.229 -2.870 1.300
Sm 0.331 -4.053 7.786
Sc 0.246 -4.839 4.125
Sn -1.144 -2.084 4.962
Sn -2.696 -5.544 7.667
Sn 1.799 -1.379 1.419
Pt 1.390 -2.755 -0.837
Pt 0.000 0.000 0.000
Pt -2.160 -4.567 5.340
Pt 1.262 -2.356 3.746
```

Its density of states at the Fermi level is 0.894 states/eV per atom. The mass density comes out at 10.94 g/cm³. The formation energy is -0.90 eV per atom.